# 1
Compound: CsSnHg3S4
Source: OQMD via LeMat-Bulk
Functional: PBE
Structure: relaxed

Calculated values
**Crystal system**: cubic

Cell and atoms, written as CIF:
```
data_CsSnHg3S4
_symmetry_space_group_name_H-M 'P -4 3 m'
_symmetry_Int_Tables_number 215
_symmetry_space_group_name_Hall 'P -4 2 3'
_cell_length_a 7.019
_cell_length_b 7.019
_cell_length_c 7.019
_cell_angle_alpha 90.00
_cell_angle_beta 90.00
_cell_angle_gamma 90.00
loop_
_atom_site_label
_atom_site_fract_x
_atom_site_fract_y
_atom_site_fract_z
Cs1 0.000 0.000 0.000
Sn1 0.500 0.500 0.500
Hg1 0.000 0.500 0.500
S1 0.300 0.300 0.300
```

***

# 2
Compound: Cs2Ta2Hg3S8
Source: OQMD via LeMat-Bulk
Functional: PBE
Structure: relaxed

Calculated values
**Crystal system**: triclinic

Cell and atoms, written as CIF:
```
data_Cs2Ta2Hg3S8
_symmetry_space_group_name_H-M 'P -1'
_symmetry_Int_Tables_number 2
_cell_length_a 7.169
_cell_length_b 7.999
_cell_length_c 9.287
_cell_angle_alpha 106.27
_cell_angle_beta 91.51
_cell_angle_gamma 108.60
loop_
_symmetry_equiv_pos_as_xyz
'x,y,z'
'-x,-y,-z'
loop_
_atom_site_label
_atom_site_fract_x
_atom_site_fract_y
_atom_site_fract_z
Cs1 0.122 0.458 0.245
Ta1 0.251 0.166 0.769
Hg1 0.338 0.086 0.383
Hg2 0.500 0.000 0.000
S1 0.053 0.856 0.153
S2 0.261 0.885 0.631
S3 0.332 0.362 0.626
S4 0.492 0.291 0.984
```

***

# 3
Compound: Cs2Hg3Te2S8
Source: OQMD via LeMat-Bulk
Functional: PBE
Structure: relaxed

Calculated values
**Crystal system**: triclinic

Cell and atoms, written as CIF:
```
data_Cs2Hg3Te2S8
_symmetry_space_group_name_H-M 'P -1'
_symmetry_Int_Tables_number 2
_cell_length_a 6.326
_cell_length_b 8.598
_cell_length_c 10.317
_cell_angle_alpha 113.64
_cell_angle_beta 94.55
_cell_angle_gamma 104.42
loop_
_symmetry_equiv_pos_as_xyz
'x,y,z'
'-x,-y,-z'
loop_
_atom_site_label
_atom_site_fract_x
_atom_site_fract_y
_atom_site_fract_z
Cs1 0.056 0.395 0.266
Hg1 0.240 0.037 0.385
Hg2 0.500 0.000 0.000
Te1 0.347 0.274 0.795
S1 0.040 0.758 0.175
S2 0.321 0.969 0.664
S3 0.334 0.338 0.569
S4 0.476 0.290 0.067
```

***

# 4
Compound: CsHg3WS4
Source: OQMD via LeMat-Bulk
Functional: PBE
Structure: relaxed

Calculated values
**Crystal system**: cubic

Cell and atoms, written as CIF:
```
data_CsHg3WS4
_symmetry_space_group_name_H-M 'P -4 3 m'
_symmetry_Int_Tables_number 215
_symmetry_space_group_name_Hall 'P -4 2 3'
_cell_length_a 7.421
_cell_length_b 7.421
_cell_length_c 7.421
_cell_angle_alpha 90.00
_cell_angle_beta 90.00
_cell_angle_gamma 90.00
loop_
_atom_site_label
_atom_site_fract_x
_atom_site_fract_y
_atom_site_fract_z
Cs1 0.000 0.000 0.000
Hg1 0.000 0.500 0.500
W1 0.500 0.500 0.500
S1 0.327 0.327 0.327
```

***

# 5
Compound: CsZrHg3S4
Source: OQMD via LeMat-Bulk
Functional: PBE
Structure: relaxed

Calculated values
**Crystal system**: cubic

Cell and atoms, written as CIF:
```
data_CsZrHg3S4
_symmetry_space_group_name_H-M 'P -4 3 m'
_symmetry_Int_Tables_number 215
_symmetry_space_group_name_Hall 'P -4 2 3'
_cell_length_a 6.917
_cell_length_b 6.917
_cell_length_c 6.917
_cell_angle_alpha 90.00
_cell_angle_beta 90.00
_cell_angle_gamma 90.00
loop_
_atom_site_label
_atom_site_fract_x
_atom_site_fract_y
_atom_site_fract_z
Cs1 0.000 0.000 0.000
Zr1 0.500 0.500 0.500
Hg1 0.000 0.500 0.500
S1 0.296 0.296 0.296
```

***

# 6
Compound: CsHgSb
Source: OQMD via LeMat-Bulk
Functional: PBE
Structure: relaxed

Calculated values
**Crystal system**: hexagonal

Cell and atoms, written as CIF:
```
data_CsHgSb
_symmetry_space_group_name_H-M 'P 63/m m c'
_symmetry_Int_Tables_number 194
_symmetry_space_group_name_Hall '-P 6c 2c'
_cell_length_a 4.9311
_cell_length_b 4.9311
_cell_length_c 11.8718
_cell_angle_alpha 90.00
_cell_angle_beta 90.00
_cell_angle_gamma 120.00
loop_
_atom_site_label
_atom_site_fract_x
_atom_site_fract_y
_atom_site_fract_z
Cs1 0.0000 0.0000 0.0000
Hg1 0.3333 0.6667 0.2500
Sb1 0.3333 0.6667 0.7500
```

***

# 7
Compound: CsScHg
Source: OQMD via LeMat-Bulk
Functional: PBE
Structure: relaxed

Calculated values
**Crystal system**: cubic

Cell and atoms, written as CIF:
```
data_CsScHg
_symmetry_space_group_name_H-M 'F -4 3 m'
_symmetry_Int_Tables_number 216
_symmetry_space_group_name_Hall 'F -4 2 3'
_cell_length_a 7.623
_cell_length_b 7.623
_cell_length_c 7.623
_cell_angle_alpha 90.00
_cell_angle_beta 90.00
_cell_angle_gamma 90.00
loop_
_atom_site_label
_atom_site_fract_x
_atom_site_fract_y
_atom_site_fract_z
Cs1 0.000 0.000 0.000
Sc1 0.250 0.250 0.250
Hg1 0.000 0.000 0.500
```

***

# 8
Compound: CsScHgSe3
Source: OQMD via LeMat-Bulk
Functional: PBE
Structure: relaxed

Calculated values
**Crystal system**: monoclinic

Cell and atoms, written as CIF:
```
data_CsScHgSe3
_symmetry_space_group_name_H-M 'P 1 21/m 1'
_symmetry_Int_Tables_number 11
_cell_length_a 9.105
_cell_length_b 4.150
_cell_length_c 10.631
_cell_angle_alpha 90.00
_cell_angle_beta 112.59
_cell_angle_gamma 90.00
loop_
_symmetry_equiv_pos_as_xyz
'x,y,z'
'-x,-y,-z'
'-x,y+1/2,-z'
'x,-y+1/2,z'
loop_
_atom_site_label
_atom_site_fract_x
_atom_site_fract_y
_atom_site_fract_z
Cs1 0.239 0.250 0.262
Sc1 0.332 0.750 0.872
Hg1 0.081 0.250 0.618
Se1 0.125 0.250 0.876
Se2 0.247 0.750 0.569
Se3 0.475 0.750 0.139
```

***

# 9
Compound: CsScHgSe3
Source: OQMD via LeMat-Bulk
Functional: PBE
Structure: relaxed

Calculated values
**Crystal system**: monoclinic

Cell and atoms, written as CIF:
```
data_CsScHgSe3
_symmetry_space_group_name_H-M 'C 1 2/m 1'
_symmetry_Int_Tables_number 12
_cell_length_a 18.714
_cell_length_b 4.056
_cell_length_c 9.413
_cell_angle_alpha 90.00
_cell_angle_beta 99.74
_cell_angle_gamma 90.00
loop_
_symmetry_equiv_pos_as_xyz
'x,y,z'
'-x,-y,-z'
'-x,y,-z'
'x,-y,z'
'x+1/2,y+1/2,z'
'-x+1/2,-y+1/2,-z'
'-x+1/2,y+1/2,-z'
'x+1/2,-y+1/2,z'
loop_
_atom_site_label
_atom_site_fract_x
_atom_site_fract_y
_atom_site_fract_z
Cs1 0.152 0.000 0.064
Sc1 0.178 0.000 0.570
Hg1 0.017 0.500 0.720
Se1 0.000 0.000 0.500
Se2 0.000 0.500 0.000
Se3 0.166 0.500 0.756
Se4 0.178 0.500 0.378
```

***

# 10
Compound: Cs2HgSe4
Source: OQMD via LeMat-Bulk
Functional: PBE
Structure: relaxed

Calculated values
**Crystal system**: monoclinic

Cell and atoms, written as CIF:
```
data_Cs2HgSe4
_symmetry_space_group_name_H-M 'C 1 2/m 1'
_symmetry_Int_Tables_number 12
_cell_length_a 15.383
_cell_length_b 7.568
_cell_length_c 10.486
_cell_angle_alpha 90.00
_cell_angle_beta 117.37
_cell_angle_gamma 90.00
loop_
_symmetry_equiv_pos_as_xyz
'x,y,z'
'-x,-y,-z'
'-x,y,-z'
'x,-y,z'
'x+1/2,y+1/2,z'
'-x+1/2,-y+1/2,-z'
'-x+1/2,y+1/2,-z'
'x+1/2,-y+1/2,z'
loop_
_atom_site_label
_atom_site_fract_x
_atom_site_fract_y
_atom_site_fract_z
Cs1 0.091 0.000 0.365
Cs2 0.147 0.500 0.783
Hg1 0.201 0.500 0.271
Se1 0.076 0.188 0.009
Se2 0.117 0.500 0.422
Se3 0.178 0.000 0.828
```

***

# 11
Compound: Cs2Hg2Se3
Source: OQMD via LeMat-Bulk
Functional: PBE
Structure: relaxed

Calculated values
**Crystal system**: trigonal

Cell and atoms, written as CIF:
```
data_Cs2Hg2Se3
_symmetry_space_group_name_H-M 'R -3 m'
_symmetry_Int_Tables_number 166
_symmetry_space_group_name_Hall '-R 3 2"'
_cell_length_a 6.6340
_cell_length_b 6.6340
_cell_length_c 19.2814
_cell_angle_alpha 90.00
_cell_angle_beta 90.00
_cell_angle_gamma 120.00
loop_
_atom_site_label
_atom_site_fract_x
_atom_site_fract_y
_atom_site_fract_z
Cs1 0.0000 0.0000 0.0000
Cs2 0.0000 0.0000 0.5000
Hg1 0.0000 0.0000 0.2044
Se1 0.0000 0.5000 0.0000
```

***

# 12
Compound: Cs2Hg2Se3
Source: OQMD via LeMat-Bulk
Functional: PBE
Structure: relaxed

Calculated values
**Crystal system**: cubic

Cell and atoms, written as CIF:
```
data_Cs2Hg2Se3
_symmetry_space_group_name_H-M 'I 21 3'
_symmetry_Int_Tables_number 199
_symmetry_space_group_name_Hall 'I 2b 2c 3'
_cell_length_a 10.483
_cell_length_b 10.483
_cell_length_c 10.483
_cell_angle_alpha 90.00
_cell_angle_beta 90.00
_cell_angle_gamma 90.00
loop_
_atom_site_label
_atom_site_fract_x
_atom_site_fract_y
_atom_site_fract_z
Cs1 0.121 0.121 0.121
Hg1 0.080 0.420 0.580
Se1 0.000 0.250 0.414
```

***

Number 1: raw total energy -0.1980 Ry per atom, density 4.71 g cm⁻³. Number 2: raw total energy -0.3417 Ry per atom, density 5.13 g cm⁻³. Number 3: raw total energy -0.2281 Ry per atom, density 4.70 g cm⁻³. Number 4: raw total energy -0.2750 Ry per atom, density 4.25 g cm⁻³. Number 5: raw total energy -0.2608 Ry per atom, density 4.79 g cm⁻³. Number 6: raw total energy -0.1580 Ry per atom, density 6.05 g cm⁻³. Number 7: raw total energy -0.1342 Ry per atom, density 5.67 g cm⁻³. Number 8: raw total energy -0.3013 Ry per atom, density 5.51 g cm⁻³. Number 9: raw total energy -0.2950 Ry per atom, density 5.80 g cm⁻³. Number 10: raw total energy -0.2105 Ry per atom, density 4.79 g cm⁻³. Number 11: raw total energy -0.1530 Ry per atom, density 6.13 g cm⁻³. Number 12: raw total energy -0.1726 Ry per atom, density 5.21 g cm⁻³.